Record 1
## Tb5Y4Tc2 (GGA-PBE)

Data for a relaxed structure of Tb5Y4Tc2.

## Properties
* SG: No. 10

a = 3.609 Å, b = 8.312 Å, c = 10.622 Å
α = 89.79°, β = 90.00°, γ = 90.00°
Positions (direct):
Tb (0.000, 0.569, 0.337)
Tb (0.000, 0.177, 0.172)
Tb (0.000, 0.431, 0.663)
Tb (0.000, 0.500, 0.000)
Tb (0.000, 0.823, 0.828)
Y (0.500, 0.169, 0.865)
Y (0.500, 0.831, 0.135)
Y (0.500, 0.187, 0.455)
Y (0.500, 0.813, 0.545)
Tc (0.000, 0.925, 0.339)
Tc (0.000, 0.075, 0.661)

Record 2
## TbY2Tc (GGA-PBE)

Data for a relaxed structure of TbY2Tc.

## Properties
* SG: No. 123

a = 3.466 Å, b = 3.466 Å, c = 8.943 Å
α = 90.00°, β = 90.00°, γ = 90.00°
Positions (direct):
Y (0.000, 0.000, 0.185)
Y (0.000, 0.000, 0.815)
Tb (0.500, 0.500, 0.500)
Tc (0.500, 0.500, 0.000)

Record 3
## Tb3YTc (GGA-PBE)

Data for a relaxed structure of Tb3YTc.

## Properties
* SG: No. 8

a = 3.912 Å, b = 6.371 Å, c = 12.109 Å
α = 81.69°, β = 80.70°, γ = 72.12°
Positions (direct):
Tc (0.788, 0.274, 0.150)
Tc (0.425, 0.390, 0.759)
Tb (0.426, 0.626, 0.523)
Tb (0.786, 0.043, 0.386)
Tb (0.099, 0.181, 0.622)
Tb (0.759, 0.722, 0.760)
Tb (0.984, 0.130, 0.903)
Tb (0.453, 0.945, 0.149)
Y (0.112, 0.489, 0.287)
Y (0.229, 0.537, 0.005)

Record 4
## TbY2Tc (GGA-PBE)

Data for a relaxed structure of TbY2Tc.

## Properties
* SG: No. 62

a = 6.312 Å, b = 7.433 Å, c = 9.226 Å
α = 90.00°, β = 90.00°, γ = 90.00°
Positions (direct):
Y (0.661, 0.823, 0.564)
Y (0.661, 0.823, 0.936)
Y (0.839, 0.323, 0.564)
Y (0.339, 0.177, 0.064)
Y (0.161, 0.677, 0.064)
Y (0.339, 0.177, 0.436)
Y (0.161, 0.677, 0.436)
Y (0.839, 0.323, 0.936)
Tc (0.965, 0.615, 0.750)
Tc (0.035, 0.385, 0.250)
Tc (0.465, 0.885, 0.250)
Tc (0.535, 0.115, 0.750)
Tb (0.370, 0.456, 0.750)
Tb (0.870, 0.044, 0.250)
Tb (0.630, 0.544, 0.250)
Tb (0.130, 0.956, 0.750)

Record 5
## TbY3Tc (GGA-PBE)

Data for a relaxed structure of TbY3Tc.

## Properties
* SG: No. 8

a = 3.922 Å, b = 6.357 Å, c = 12.105 Å
α = 82.17°, β = 80.68°, γ = 72.04°
Positions (direct):
Tb (0.111, 0.492, 0.286)
Tb (0.229, 0.538, 0.005)
Y (0.785, 0.045, 0.385)
Y (0.453, 0.947, 0.148)
Y (0.984, 0.129, 0.904)
Y (0.102, 0.174, 0.623)
Y (0.759, 0.722, 0.761)
Y (0.428, 0.621, 0.524)
Tc (0.785, 0.282, 0.149)
Tc (0.426, 0.388, 0.759)

Record 6
## Tb2Y3Tc2 (GGA-PBE)

Data for a relaxed structure of Tb2Y3Tc2.

## Properties
* SG: No. 12

a = 3.850 Å, b = 6.411 Å, c = 8.524 Å
α = 104.40°, β = 103.03°, γ = 107.50°
Positions (direct):
Tc (0.964, 0.143, 0.787)
Tc (0.036, 0.857, 0.213)
Tb (0.347, 0.510, 0.183)
Tb (0.653, 0.490, 0.817)
Y (0.500, 0.000, 0.000)
Y (0.807, 0.182, 0.432)
Y (0.193, 0.818, 0.568)

Record 7
## TbY2Tc (GGA-PBE)

Data for a relaxed structure of TbY2Tc.

## Properties
* SG: No. 166

a = 3.431 Å, b = 3.431 Å, c = 11.156 Å
α = 81.15°, β = 81.15°, γ = 60.00°
Positions (direct):
Y (0.895, 0.895, 0.315)
Y (0.105, 0.105, 0.685)
Tb (0.000, 0.000, 0.000)
Tc (0.500, 0.500, 0.500)

Record 8
## TbYZnTc (GGA-PBE)

Data for a relaxed structure of TbYZnTc.

## Properties
* SG: No. 216

a = 4.944 Å, b = 4.944 Å, c = 4.944 Å
α = 60.00°, β = 60.00°, γ = 60.00°
Positions (direct):
Zn (0.000, 0.000, 0.000)
Tc (0.500, 0.500, 0.500)
Y (0.750, 0.750, 0.750)
Tb (0.250, 0.250, 0.250)

Record 9
## Tb4ZnTc (GGA-PBE)

Data for a relaxed structure of Tb4ZnTc.

## Properties
* SG: No. 123

a = 4.889 Å, b = 4.889 Å, c = 6.971 Å
α = 89.96°, β = 89.98°, γ = 90.00°
Positions (direct):
Tb (0.501, 0.997, 0.261)
Tb (0.501, 0.998, 0.736)
Tb (0.001, 0.497, 0.261)
Tb (0.001, 0.498, 0.736)
Zn (0.501, 0.497, 0.998)
Tc (0.001, 0.998, 0.498)

Record 10
## Tb2ZnTc (GGA-PBE)

Data for a relaxed structure of Tb2ZnTc.

## Properties
* SG: No. 166

a = 3.427 Å, b = 3.427 Å, c = 10.427 Å
α = 80.54°, β = 80.54°, γ = 60.00°
Positions (direct):
Tb (0.899, 0.899, 0.304)
Tb (0.101, 0.101, 0.696)
Tc (0.500, 0.500, 0.500)
Zn (0.000, 0.000, 0.000)

Record 11
## TbZnTc (GGA-PBE)

Data for a relaxed structure of TbZnTc.

## Properties
* SG: No. 62

a = 4.407 Å, b = 5.357 Å, c = 10.157 Å
α = 90.00°, β = 90.00°, γ = 90.00°
Positions (direct):
Zn (0.750, 0.589, 0.547)
Zn (0.750, 0.911, 0.047)
Zn (0.250, 0.089, 0.953)
Zn (0.250, 0.411, 0.453)
Tc (0.250, 0.904, 0.520)
Tc (0.750, 0.404, 0.980)
Tc (0.750, 0.096, 0.480)
Tc (0.250, 0.596, 0.020)
Tb (0.250, 0.019, 0.241)
Tb (0.750, 0.519, 0.259)
Tb (0.250, 0.481, 0.741)
Tb (0.750, 0.981, 0.759)

Record 12
## Tb6Zn5Tc (GGA-PBE)

Data for a relaxed structure of Tb6Zn5Tc.

## Properties
* SG: No. 10

a = 5.026 Å, b = 7.162 Å, c = 7.926 Å
α = 90.00°, β = 71.60°, γ = 90.00°
Positions (direct):
Tc (0.000, 0.000, 0.000)
Tb (0.161, 0.756, 0.678)
Tb (0.161, 0.244, 0.678)
Tb (0.500, 0.761, 0.000)
Tb (0.839, 0.244, 0.322)
Tb (0.839, 0.756, 0.322)
Tb (0.500, 0.239, 0.000)
Zn (0.670, 0.000, 0.660)
Zn (0.000, 0.500, 0.000)
Zn (0.666, 0.500, 0.668)
Zn (0.330, 0.000, 0.340)
Zn (0.334, 0.500, 0.332)

Record 13
## Tb2ZnTc (GGA-PBE)

Data for a relaxed structure of Tb2ZnTc.

## Properties
* SG: No. 123

a = 3.520 Å, b = 3.520 Å, c = 7.039 Å
α = 90.00°, β = 90.00°, γ = 90.00°
Positions (direct):
Tb (0.000, 0.000, 0.768)
Tb (0.000, 0.000, 0.232)
Zn (0.500, 0.500, 0.500)
Tc (0.500, 0.500, 0.000)

Record 14
## Tb6ZnTc2 (GGA-PBE)

Data for a relaxed structure of Tb6ZnTc2.

## Properties
* SG: No. 71

a = 8.477 Å, b = 8.477 Å, c = 8.477 Å
α = 105.66°, β = 111.53°, γ = 111.30°
Positions (direct):
Tb (0.292, 0.975, 0.682)
Tb (0.708, 0.025, 0.318)
Tb (0.907, 0.721, 0.187)
Tb (0.466, 0.279, 0.187)
Tb (0.292, 0.610, 0.318)
Tb (0.708, 0.390, 0.682)
Tb (0.795, 0.767, 0.562)
Tb (0.205, 0.767, 0.972)
Tb (0.093, 0.279, 0.813)
Tb (0.205, 0.233, 0.438)
Tb (0.534, 0.721, 0.813)
Tb (0.795, 0.233, 0.028)
Tc (0.500, 0.616, 0.116)
Tc (0.500, 0.384, 0.884)
Tc (0.369, 0.000, 0.369)
Tc (0.631, 0.000, 0.631)
Zn (0.000, 0.000, 0.000)
Zn (0.000, 0.500, 0.500)

Record 15
## TbZn4Tc (GGA-PBE)

Data for a relaxed structure of TbZn4Tc.

## Properties
* SG: No. 216

a = 5.154 Å, b = 5.154 Å, c = 5.154 Å
α = 60.00°, β = 60.00°, γ = 60.00°
Positions (direct):
Zn (0.129, 0.624, 0.624)
Zn (0.624, 0.129, 0.624)
Zn (0.624, 0.624, 0.129)
Zn (0.624, 0.624, 0.624)
Tb (0.000, 0.000, 0.000)
Tc (0.250, 0.250, 0.250)

Record 16
## Tb4ZnTc (GGA-PBE)

Data for a relaxed structure of Tb4ZnTc.

## Properties
* SG: No. 15

a = 6.305 Å, b = 7.550 Å, c = 7.550 Å
α = 112.76°, β = 98.44°, γ = 98.44°
Positions (direct):
Tb (0.038, 0.933, 0.278)
Tb (0.538, 0.278, 0.933)
Tb (0.411, 0.789, 0.630)
Tb (0.089, 0.370, 0.211)
Tb (0.589, 0.211, 0.370)
Tb (0.962, 0.067, 0.722)
Tb (0.462, 0.722, 0.067)
Tb (0.911, 0.630, 0.789)
Tc (0.250, 0.998, 0.002)
Tc (0.750, 0.002, 0.998)
Zn (0.250, 0.373, 0.627)
Zn (0.750, 0.627, 0.373)

Record 17
## Tb5Zn4Tc (GGA-PBE)

Data for a relaxed structure of Tb5Zn4Tc.

## Properties
* SG: No. 123

a = 3.545 Å, b = 3.545 Å, c = 17.920 Å
α = 90.00°, β = 90.00°, γ = 90.00°
Positions (direct):
Tc (0.000, 0.000, 0.000)
Tb (0.500, 0.500, 0.091)
Tb (0.500, 0.500, 0.500)
Tb (0.500, 0.500, 0.909)
Tb (0.500, 0.500, 0.298)
Tb (0.500, 0.500, 0.702)
Zn (0.000, 0.000, 0.196)
Zn (0.000, 0.000, 0.804)
Zn (0.000, 0.000, 0.601)
Zn (0.000, 0.000, 0.399)

Record 18
## Tb12Zn6Tc (GGA-PBE)

Data for a relaxed structure of Tb12Zn6Tc.

## Properties
* SG: No. 148

a = 7.963 Å, b = 7.963 Å, c = 7.963 Å
α = 92.03°, β = 92.03°, γ = 92.03°
Positions (direct):
Tb (0.445, 0.552, 0.196)
Tb (0.448, 0.804, 0.555)
Tb (0.196, 0.445, 0.552)
Tb (0.804, 0.555, 0.448)
Tb (0.328, 0.981, 0.107)
Tb (0.981, 0.107, 0.328)
Tb (0.552, 0.196, 0.445)
Tb (0.019, 0.893, 0.672)
Tb (0.107, 0.328, 0.981)
Tb (0.555, 0.448, 0.804)
Tb (0.672, 0.019, 0.893)
Tb (0.893, 0.672, 0.019)
Zn (0.737, 0.319, 0.131)
Zn (0.681, 0.869, 0.263)
Zn (0.131, 0.737, 0.319)
Zn (0.263, 0.681, 0.869)
Zn (0.319, 0.131, 0.737)
Zn (0.869, 0.263, 0.681)
Tc (0.000, 0.000, 0.000)

Record 19
## TbZrZnTc (GGA-PBE)

Data for a relaxed structure of TbZrZnTc.

## Properties
* SG: No. 216

a = 4.822 Å, b = 4.822 Å, c = 4.822 Å
α = 60.00°, β = 60.00°, γ = 60.00°
Positions (direct):
Zn (0.500, 0.500, 0.500)
Tb (0.250, 0.250, 0.250)
Zr (0.750, 0.750, 0.750)
Tc (0.000, 0.000, 0.000)

Record 20
## Tb2ZrTc (GGA-PBE)

Data for a relaxed structure of Tb2ZrTc.

## Properties
* SG: No. 166

a = 3.228 Å, b = 3.228 Å, c = 10.892 Å
α = 81.48°, β = 81.48°, γ = 60.00°
Positions (direct):
Tc (0.000, 0.000, 0.000)
Tb (0.919, 0.919, 0.244)
Tb (0.081, 0.081, 0.756)
Zr (0.500, 0.500, 0.500)

Record 21
## TbZr2Tc (GGA-PBE)

Data for a relaxed structure of TbZr2Tc.

## Properties
* SG: No. 166

a = 3.249 Å, b = 3.249 Å, c = 10.486 Å
α = 81.09°, β = 81.09°, γ = 60.00°
Positions (direct):
Tb (0.000, 0.000, 0.000)
Tc (0.500, 0.500, 0.500)
Zr (0.103, 0.103, 0.692)
Zr (0.897, 0.897, 0.308)

Record 22
## TbZrTc2 (GGA-PBE)

Data for a relaxed structure of TbZrTc2.

## Properties
* SG: No. 123

a = 3.353 Å, b = 3.353 Å, c = 6.798 Å
α = 90.00°, β = 90.00°, γ = 90.00°
Positions (direct):
Zr (0.500, 0.500, 0.000)
Tc (0.000, 0.000, 0.231)
Tc (0.000, 0.000, 0.769)
Tb (0.500, 0.500, 0.500)

Record 23
## TbZr2Tc9 (GGA-PBE)

Data for a relaxed structure of TbZr2Tc9.

## Properties
* SG: No. 166

a = 5.265 Å, b = 5.265 Å, c = 9.207 Å
α = 73.38°, β = 73.38°, γ = 60.00°
Positions (direct):
Tc (0.410, 0.924, 0.256)
Tc (0.500, 0.500, 0.500)
Tc (0.076, 0.590, 0.744)
Tc (0.336, 0.336, 0.992)
Tc (0.924, 0.410, 0.256)
Tc (0.410, 0.410, 0.256)
Tc (0.590, 0.076, 0.744)
Tc (0.664, 0.664, 0.008)
Tc (0.590, 0.590, 0.744)
Zr (0.857, 0.857, 0.429)
Zr (0.143, 0.143, 0.571)
Tb (0.000, 0.000, 0.000)

Record 24
## TbZr2Tc (GGA-PBE)

Data for a relaxed structure of TbZr2Tc.

## Properties
* SG: No. 123

a = 3.340 Å, b = 3.340 Å, c = 8.111 Å
α = 90.00°, β = 90.00°, γ = 90.00°
Positions (direct):
Zr (0.000, 0.000, 0.808)
Zr (0.000, 0.000, 0.192)
Tb (0.500, 0.500, 0.500)
Tc (0.500, 0.500, 0.000)

Number 1: total magnetic moment 0.00 μB per cell, formation enthalpy at 0 K 0.073 eV per atom, Fermi-level density of states 13.9 states/eV/cell. Number 2: total magnetic moment 0.00 μB per cell, formation enthalpy at 0 K 0.052 eV per atom, Fermi-level density of states 6.4 states/eV/cell. Number 3: total magnetic moment 0.00 μB per cell, formation enthalpy at 0 K -0.049 eV per atom, Fermi-level density of states 9.6 states/eV/cell. Number 4: total magnetic moment 0.00 μB per cell, formation enthalpy at 0 K -0.088 eV per atom, Fermi-level density of states 14.1 states/eV/cell. Number 5: total magnetic moment 0.00 μB per cell, formation enthalpy at 0 K -0.053 eV per atom, Fermi-level density of states 10.7 states/eV/cell. Number 6: total magnetic moment 0.00 μB per cell, formation enthalpy at 0 K -0.043 eV per atom, Fermi-level density of states 5.2 states/eV/cell. Number 7: total magnetic moment 0.00 μB per cell, formation enthalpy at 0 K 0.307 eV per atom, Fermi-level density of states 6.5 states/eV/cell. Number 8: total magnetic moment 0.00 μB per cell, formation enthalpy at 0 K -0.134 eV per atom, Fermi-level density of states 2.5 states/eV/cell. Number 9: total magnetic moment 0.00 μB per cell, formation enthalpy at 0 K 0.028 eV per atom, Fermi-level density of states 5.0 states/eV/cell. Number 10: total magnetic moment 0.00 μB per cell, formation enthalpy at 0 K 0.332 eV per atom, Fermi-level density of states 3.1 states/eV/cell. Number 11: total magnetic moment 0.00 μB per cell, formation enthalpy at 0 K -0.129 eV per atom, Fermi-level density of states 6.5 states/eV/cell. Number 12: total magnetic moment 0.00 μB per cell, formation enthalpy at 0 K -0.303 eV per atom, Fermi-level density of states 8.7 states/eV/cell. Number 13: total magnetic moment 0.00 μB per cell, formation enthalpy at 0 K -0.160 eV per atom, Fermi-level density of states 3.2 states/eV/cell. Number 14: total magnetic moment 0.00 μB per cell, formation enthalpy at 0 K -0.099 eV per atom, Fermi-level density of states 18.8 states/eV/cell. Number 15: total magnetic moment 0.39 μB per cell, formation enthalpy at 0 K -0.156 eV per atom, Fermi-level density of states 6.4 states/eV/cell. Number 16: total magnetic moment 0.00 μB per cell, formation enthalpy at 0 K -0.165 eV per atom, Fermi-level density of states 9.9 states/eV/cell. Number 17: total magnetic moment 0.00 μB per cell, formation enthalpy at 0 K -0.263 eV per atom, Fermi-level density of states 11.3 states/eV/cell. Number 18: total magnetic moment 0.00 μB per cell, formation enthalpy at 0 K -0.075 eV per atom, Fermi-level density of states 20.2 states/eV/cell. Number 19: total magnetic moment 0.00 μB per cell, formation enthalpy at 0 K -0.176 eV per atom, Fermi-level density of states 4.0 states/eV/cell. Number 20: total magnetic moment 0.79 μB per cell, formation enthalpy at 0 K 0.611 eV per atom, Fermi-level density of states 4.4 states/eV/cell. Number 21: total magnetic moment 0.00 μB per cell, formation enthalpy at 0 K 0.201 eV per atom, Fermi-level density of states 6.0 states/eV/cell. Number 22: total magnetic moment 0.00 μB per cell, formation enthalpy at 0 K -0.060 eV per atom, Fermi-level density of states 5.7 states/eV/cell. Number 23: total magnetic moment 0.00 μB per cell, formation enthalpy at 0 K -0.134 eV per atom, Fermi-level density of states 15.1 states/eV/cell. Number 24: total magnetic moment 0.00 μB per cell, formation enthalpy at 0 K -0.107 eV per atom, Fermi-level density of states 6.0 states/eV/cell.